Record 1
# TbBRhO5 | Alexandria via LeMat-Bulk | PBE | relaxed
data_TbBRhO5
_cell_length_a 5.345
_cell_length_b 5.345
_cell_length_c 6.718
_cell_angle_alpha 102.79
_cell_angle_beta 102.79
_cell_angle_gamma 108.21
_symmetry_space_group_name_H-M 'P 1'
_symmetry_Int_Tables_number 1
_symmetry_space_group_name_Hall 'P 1'
loop_
_atom_site_label
_atom_site_fract_x
_atom_site_fract_y
_atom_site_fract_z
Tb1 0.355 0.645 0.250
Tb2 0.645 0.355 0.750
B1 0.690 0.310 0.250
B2 0.310 0.690 0.750
Rh1 0.000 0.000 0.500
Rh2 0.000 0.000 0.000
O1 0.095 0.905 0.250
O2 0.905 0.095 0.750
O3 0.898 0.336 0.136
O4 0.102 0.664 0.864
O5 0.664 0.102 0.364
O6 0.336 0.898 0.636
O7 0.742 0.582 0.422
O8 0.258 0.418 0.578
O9 0.418 0.258 0.078
O10 0.582 0.742 0.922
# Space-group type ... C2/c (15)
# DOS at the Fermi energy ... 0.332 states/eV/atom
# Energy relative to the elements, uncorrected ... -2.12 eV/atom


Record 2
# Tl2B2RhO6 | Alexandria via LeMat-Bulk | PBE | relaxed
data_Tl2B2RhO6
_cell_length_a 5.152
_cell_length_b 5.152
_cell_length_c 7.697
_cell_angle_alpha 70.45
_cell_angle_beta 70.45
_cell_angle_gamma 60.00
_symmetry_space_group_name_H-M 'P 1'
_symmetry_Int_Tables_number 1
_symmetry_space_group_name_Hall 'P 1'
loop_
_atom_site_label
_atom_site_fract_x
_atom_site_fract_y
_atom_site_fract_z
Tl1 0.781 0.781 0.656
Tl2 0.219 0.219 0.344
B1 0.385 0.385 0.846
B2 0.615 0.615 0.154
Rh1 0.000 0.000 0.000
O1 0.764 0.764 0.172
O2 0.301 0.764 0.172
O3 0.764 0.301 0.172
O4 0.236 0.699 0.828
O5 0.699 0.236 0.828
O6 0.236 0.236 0.828
# Space-group type ... R-3m (166)
# DOS at the Fermi energy ... 0.346 states/eV/atom
# Energy relative to the elements, uncorrected ... -1.41 eV/atom


Copy entry 2 word for word.
# Tl2B2RhO6 | Alexandria via LeMat-Bulk | PBE | relaxed
data_Tl2B2RhO6
_cell_length_a 5.152
_cell_length_b 5.152
_cell_length_c 7.697
_cell_angle_alpha 70.45
_cell_angle_beta 70.45
_cell_angle_gamma 60.00
_symmetry_space_group_name_H-M 'P 1'
_symmetry_Int_Tables_number 1
_symmetry_space_group_name_Hall 'P 1'
loop_
_atom_site_label
_atom_site_fract_x
_atom_site_fract_y
_atom_site_fract_z
Tl1 0.781 0.781 0.656
Tl2 0.219 0.219 0.344
B1 0.385 0.385 0.846
B2 0.615 0.615 0.154
Rh1 0.000 0.000 0.000
O1 0.764 0.764 0.172
O2 0.301 0.764 0.172
O3 0.764 0.301 0.172
O4 0.236 0.699 0.828
O5 0.699 0.236 0.828
O6 0.236 0.236 0.828
# Space-group type ... R-3m (166)
# DOS at the Fermi energy ... 0.346 states/eV/atom
# Energy relative to the elements, uncorrected ... -1.41 eV/atom